[1]
Material: Pr7Ru3
Method: DFT, GGA-PBE
State: relaxed

The structure belongs to space group Pnma (No. 62); the cell edges are 7.395, 23.400 and 6.704 Å and the angles 90.00°, 90.00° and 90.00°. The distinct sites, in fractional coordinates, are Pr at (0.049, 0.115, 0.144), Pr at (0.173, 0.750, 0.638), Pr at (0.179, 0.023, 0.674), Pr at (0.183, 0.174, 0.679), Ru at (0.022, 0.750, 0.035) and Ru at (0.110, 0.595, 0.466).

Its energy relative to the elements is -0.19 eV/atom. The value obtained for the density of states at the Fermi level is 0.78 states/eV/atom. As for the total DFT energy (no corrections): -6.3225 eV/atom.


[2]
Material: Pr5SbRu2
Method: DFT, GGA-PBE
State: relaxed

The structure belongs to space group I4/mcm (No. 140); the cell edges are 8.050, 8.050 and 13.898 Å and the angles 90.00°, 90.00° and 90.00°. The distinct sites, in fractional coordinates, are Pr at (0.000, 0.000, 0.000), Pr at (0.158, 0.342, 0.135), Sb at (0.000, 0.000, 0.250) and Ru at (0.141, 0.359, 0.500).

The value obtained for the density of states at the Fermi level is 0.93 states/eV/atom. As for the total DFT energy (no corrections): -6.2514 eV/atom.


[3]
Material: Pr12Sb6Ru
Method: DFT, GGA-PBE
State: relaxed

The structure belongs to space group R-3 (No. 148, hexagonal axes); the cell edges are 13.5499, 13.5499 and 12.6873 Å and the angles 90.00°, 90.00° and 120.00°. The distinct sites, in fractional coordinates, are Pr at (0.0313, 0.8334, 0.3907), Pr at (0.0643, 0.8683, 0.8806), Sb at (0.0477, 0.7639, 0.6405) and Ru at (0.0000, 0.0000, 0.0000).

The value obtained for the density of states at the Fermi level is 1.00 states/eV/atom. As for the total DFT energy (no corrections): -5.4718 eV/atom.


[4]
Material: PrSb12Ru4
Method: DFT, GGA-PBE
State: relaxed

The structure belongs to space group Im-3 (No. 204); the cell edges are 9.387, 9.387 and 9.387 Å and the angles 90.00°, 90.00° and 90.00°. The distinct sites, in fractional coordinates, are Pr at (0.000, 0.000, 0.000), Sb at (0.000, 0.158, 0.340) and Ru at (0.250, 0.250, 0.250).

The value obtained for the density of states at the Fermi level is 0.73 states/eV/atom. As for the total DFT energy (no corrections): -5.7057 eV/atom.


[5]
Material: PrSbRu
Method: DFT, GGA-PBE
State: relaxed

The structure belongs to space group P-1 (No. 2); the cell edges are 4.226, 4.513 and 8.209 Å and the angles 99.69°, 90.24° and 90.00°. The distinct sites, in fractional coordinates, are Pr at (0.249, 0.429, 0.296), Sb at (0.251, 0.147, 0.898) and Ru at (0.251, 0.998, 0.574).

The value obtained for the density of states at the Fermi level is 0.70 states/eV/atom. As for the total DFT energy (no corrections): -6.4538 eV/atom.


[6]
Material: Pr12SbRu6
Method: DFT, GGA-PBE
State: relaxed

The structure belongs to space group Im-3 (No. 204); the cell edges are 10.260, 10.260 and 10.260 Å and the angles 90.00°, 90.00° and 90.00°. The distinct sites, in fractional coordinates, are Pr at (0.000, 0.299, 0.195), Sb at (0.000, 0.000, 0.000) and Ru at (0.000, 0.119, 0.500).

The value obtained for the density of states at the Fermi level is 0.91 states/eV/atom. As for the total DFT energy (no corrections): -6.3805 eV/atom.


M_tot, respectively: 0.00 0.00 0.00 0.00 0.00 0.00 μB per formula unit.